A plane-wave DFT calculation with PBE was carried out for HfAg5Se5 after structural relaxation.

Cell: 5.2173 6.9063 7.8472 Å, 108.70 90.00 112.19°
Closest atoms and distances in Å follow each position.
Fractional coordinates of all 11 atoms:
Ag1 0.0000 0.0000 0.5000  4 Se 2.61-2.89
Se1 0.1660 0.3320 0.8597  4 Ag 2.66-2.89, 1 Hf 2.71
Hf1 0.0000 0.0000 0.0000  6 Se 2.61-2.73
Ag2 0.3347 0.6695 0.2048  4 Se 2.66-2.92, 1 Ag 2.93
Ag3 0.4090 0.8179 0.6023  3 Se 2.79-2.93, 4 Ag 2.93-3.10
Se2 0.8340 0.6680 0.1403  4 Ag 2.66-2.89, 1 Hf 2.71
Se3 0.1513 0.3027 0.3460  4 Ag 2.61-2.92, 1 Hf 2.73
Ag4 0.6653 0.3305 0.7952  4 Se 2.66-2.92, 1 Ag 2.93
Ag5 0.5910 0.1821 0.3977  3 Se 2.79-2.93, 4 Ag 2.93-3.10
Se4 0.8487 0.6973 0.6540  4 Ag 2.61-2.92, 1 Hf 2.73
Se5 0.5000 0.0000 0.0000  2 Hf 2.61

Results
Crystal system: monoclinic
Symmetry: C2/m (12)
Density of states at the Fermi level: 0.38 states/eV/atom
VASP energy: -4.080 eV per atom